DFT (PBE-GGA) results for Ca2TlIn after structural relaxation.

Computed properties:
calculated volume: 30.036 A^3/atom
raw total energy: -2.64 eV/atom
M_tot: 0.0 Bohr magnetons per cell
formation enthalpy at 0 K: -0.362 eV/atom
Fermi-level density of states: 0.56 states/eV/atom

Cell: 12.158 3.698 5.632 Å, 90.00 108.36 90.00°
Element x y z (fractional)
Ca: 0.000 0.000 0.000
Ca: 0.212 0.000 0.644
Ca: 0.500 0.500 0.000
Ca: 0.712 0.500 0.644
Tl: 0.252 0.500 0.165
Tl: 0.752 0.000 0.165
In: 0.460 0.000 0.480
In: 0.960 0.500 0.480